Record 1
The following is a PBE-GGA calculation of a relaxed structure of Rb3Ce2ScS6, from Alexandria via LeMat-Bulk.

a b c (Å): 7.1412 7.1412 8.0234
angles (deg): 98.55 98.55 120.00
Site moments in Bohr magnetons follow the coordinates.
Element x y z (fractional)
Rb 0.1681 0.8319 0.5000  0.00
Rb 0.8319 0.1681 0.5000  0.00
Rb 0.5000 0.5000 0.5000  0.00
Ce 0.3335 0.6665 0.0000  0.92
Ce 0.6665 0.3335 0.0000  0.92
Sc 0.0000 0.0000 0.0000  0.07
S 0.9363 0.6218 0.8092  -0.01
S 0.7494 0.7494 0.1912  -0.01
S 0.0637 0.3782 0.1908  -0.01
S 0.6218 0.9363 0.8092  -0.01
S 0.2506 0.2506 0.8088  -0.01
S 0.3782 0.0637 0.1908  -0.01

Values from the calculation:
Space group ... C2/m
E_form (uncorrected) ... -1.73 eV/atom
VASP energy ... -5.55 eV per atom

***

Record 2
The following is a PBE-GGA calculation of a relaxed structure of Rb3CeSc2S6, from Alexandria via LeMat-Bulk.

a b c (Å): 6.9244 6.9244 7.9791
angles (deg): 98.34 98.34 120.00
Site moments in Bohr magnetons follow the coordinates.
Element x y z (fractional)
Rb 0.1642 0.8358 0.5000  0.00
Rb 0.8358 0.1642 0.5000  0.00
Rb 0.5000 0.5000 0.5000  0.00
Ce 0.0000 0.0000 0.0000  0.87
Sc 0.3331 0.6669 0.0000  0.04
Sc 0.6669 0.3331 0.0000  0.04
S 0.9376 0.5851 0.8131  -0.01
S 0.7096 0.7096 0.1861  -0.01
S 0.0624 0.4149 0.1869  -0.01
S 0.5851 0.9376 0.8131  -0.01
S 0.2904 0.2904 0.8139  -0.01
S 0.4149 0.0624 0.1869  -0.01

Values from the calculation:
Space group ... C2/m
E_form (uncorrected) ... -1.71 eV/atom
VASP energy ... -5.57 eV per atom

***

Record 3
The following is a PBE-GGA calculation of a relaxed structure of Rb4Ce3ScS8, from Alexandria via LeMat-Bulk.

a b c (Å): 8.3043 9.0444 8.3047
angles (deg): 117.34 120.00 90.00
Site moments in Bohr magnetons follow the coordinates.
Element x y z (fractional)
Rb 0.5000 0.0000 0.0000  0.00
Rb 0.5000 0.0000 0.5000  0.00
Rb 0.0000 0.0000 0.0000  0.00
Rb 0.0000 0.0000 0.5000  0.00
Ce 0.5000 0.5000 0.0000  0.92
Ce 0.5000 0.5000 0.5000  0.92
Ce 0.0000 0.5000 0.5000  0.92
Sc 0.0000 0.5000 0.0000  0.08
S 0.2215 0.6900 0.9687  -0.01
S 0.2215 0.6900 0.4430  -0.01
S 0.2670 0.3010 0.5340  -0.02
S 0.7472 0.6900 0.9687  -0.01
S 0.2528 0.3100 0.0313  -0.01
S 0.7330 0.6990 0.4660  -0.02
S 0.7785 0.3100 0.5570  -0.01
S 0.7785 0.3100 0.0313  -0.01

Values from the calculation:
Space group ... R-3m
E_form (uncorrected) ... -1.73 eV/atom
VASP energy ... -5.55 eV per atom

***

Record 4
The following is a PBE-GGA calculation of a relaxed structure of Rb2CeSc2S6, from Alexandria via LeMat-Bulk.

a b c (Å): 6.7459 6.7459 8.1521
angles (deg): 97.86 97.86 120.36
Element x y z (fractional)
Rb 0.8345 0.1655 0.0000
Rb 0.1655 0.8345 0.0000
Ce 0.0000 0.0000 0.5000
Sc 0.3332 0.6668 0.5000
Sc 0.6668 0.3332 0.5000
S 0.7147 0.7147 0.6816
S 0.0589 0.4051 0.6813
S 0.2853 0.2853 0.3184
S 0.4051 0.0589 0.6813
S 0.9411 0.5949 0.3187
S 0.5949 0.9411 0.3187

Values from the calculation:
Space group ... C2/m
E_form (uncorrected) ... -1.76 eV/atom
VASP energy ... -5.88 eV per atom

***

Record 5
The following is a PBE-GGA calculation of a relaxed structure of Rb2Ce2ScS6, from Alexandria via LeMat-Bulk.

a b c (Å): 6.9830 6.9830 8.1540
angles (deg): 98.28 98.28 119.60
Site moments in Bohr magnetons follow the coordinates.
Element x y z (fractional)
Rb 0.8319 0.1681 0.0000  0.00
Rb 0.1681 0.8319 0.0000  0.00
Ce 0.3339 0.6661 0.5000  0.55
Ce 0.6661 0.3339 0.5000  0.55
Sc 0.0000 0.0000 0.5000  0.00
S 0.7479 0.7479 0.6831  -0.01
S 0.0603 0.3800 0.6839  -0.01
S 0.2521 0.2521 0.3169  -0.01
S 0.3800 0.0603 0.6839  -0.01
S 0.9397 0.6200 0.3161  -0.01
S 0.6200 0.9397 0.3161  -0.01

Values from the calculation:
Space group ... C2/m
E_form (uncorrected) ... -1.79 eV/atom
VASP energy ... -5.87 eV per atom

***

Record 6
The following is a PBE-GGA calculation of a relaxed structure of Rb3Ce3ScS8, from Alexandria via LeMat-Bulk.

a b c (Å): 8.2052 8.2054 9.1114
angles (deg): 116.78 90.00 120.00
Site moments in Bohr magnetons follow the coordinates.
Element x y z (fractional)
Rb 0.0000 0.0000 0.0000  0.00
Rb 0.0000 0.5000 0.0000  0.00
Rb 0.5000 0.5000 0.0000  0.00
Ce 0.5000 0.0000 0.5000  0.68
Ce 0.5000 0.5000 0.5000  0.69
Ce 0.0000 0.5000 0.5000  0.69
Sc 0.0000 0.0000 0.5000  0.00
S 0.2681 0.5361 0.3042  -0.02
S 0.7319 0.4639 0.6958  -0.02
S 0.7811 0.5622 0.3178  -0.01
S 0.2189 0.4378 0.6822  -0.01
S 0.7810 0.0366 0.3178  -0.01
S 0.2190 0.9634 0.6822  -0.01
S 0.2556 0.0366 0.3178  -0.01
S 0.7444 0.9634 0.6822  -0.01

Values from the calculation:
Space group ... R-3m
E_form (uncorrected) ... -1.78 eV/atom
VASP energy ... -5.79 eV per atom

***

Record 7
The following is a PBE-GGA calculation of a relaxed structure of RbCeSc4S8, from Alexandria via LeMat-Bulk.

a b c (Å): 7.8212 7.8212 8.1782
angles (deg): 61.43 61.43 60.00
Site moments in Bohr magnetons follow the coordinates.
Element x y z (fractional)
Rb 0.3637 0.3637 0.9089  0.00
Ce 0.0045 0.0045 0.9865  0.86
Sc 0.6266 0.6266 0.1201  0.04
Sc 0.0044 0.4854 0.5059  0.02
Sc 0.4854 0.0044 0.5059  0.02
Sc 0.0044 0.0044 0.5059  0.02
S 0.2443 0.8056 0.7058  -0.01
S 0.8056 0.2443 0.7058  -0.01
S 0.2443 0.2443 0.7058  -0.01
S 0.2253 0.2253 0.3240  0.00
S 0.7484 0.2382 0.2650  -0.01
S 0.2382 0.7484 0.2650  -0.01
S 0.7484 0.7484 0.2650  -0.01
S 0.7565 0.7565 0.7305  0.00

Values from the calculation:
Space group ... R3m
E_form (uncorrected) ... -1.71 eV/atom
VASP energy ... -6.37 eV per atom

***

Record 8
The following is a PBE-GGA calculation of a relaxed structure of RbCeSeS, from Alexandria via LeMat-Bulk.

a b c (Å): 4.2971 4.2973 8.3779
angles (deg): 90.01 104.86 120.00
Site moments in Bohr magnetons follow the coordinates.
Element x y z (fractional)
Rb 0.9684 0.3824 0.3657  0.00
Ce 0.2974 0.5465 0.8594  0.95
Se 0.1038 0.9498 0.0688  -0.02
S 0.5083 0.1520 0.6758  -0.02

Values from the calculation:
Space group ... R3m
E_form (uncorrected) ... -1.68 eV/atom
VASP energy ... -5.31 eV per atom

***

Repeat the third record exactly.
The following is a PBE-GGA calculation of a relaxed structure of Rb4Ce3ScS8, from Alexandria via LeMat-Bulk.

a b c (Å): 8.3043 9.0444 8.3047
angles (deg): 117.34 120.00 90.00
Site moments in Bohr magnetons follow the coordinates.
Element x y z (fractional)
Rb 0.5000 0.0000 0.0000  0.00
Rb 0.5000 0.0000 0.5000  0.00
Rb 0.0000 0.0000 0.0000  0.00
Rb 0.0000 0.0000 0.5000  0.00
Ce 0.5000 0.5000 0.0000  0.92
Ce 0.5000 0.5000 0.5000  0.92
Ce 0.0000 0.5000 0.5000  0.92
Sc 0.0000 0.5000 0.0000  0.08
S 0.2215 0.6900 0.9687  -0.01
S 0.2215 0.6900 0.4430  -0.01
S 0.2670 0.3010 0.5340  -0.02
S 0.7472 0.6900 0.9687  -0.01
S 0.2528 0.3100 0.0313  -0.01
S 0.7330 0.6990 0.4660  -0.02
S 0.7785 0.3100 0.5570  -0.01
S 0.7785 0.3100 0.0313  -0.01

Values from the calculation:
Space group ... R-3m
E_form (uncorrected) ... -1.73 eV/atom
VASP energy ... -5.55 eV per atom